First-principles (PBE) data for MgGa2TeS6 after structural relaxation, as listed in Alexandria.

Lattice parameters (Å, degrees): 6.750 8.276 8.276 82.03 79.57 79.57
Element x y z (fractional)
1 S 0.454 0.565 0.708
2 S 0.136 0.985 0.801
3 S 0.889 0.358 0.915
4 S 0.046 0.292 0.435
5 S 0.636 0.801 0.985
6 S 0.611 0.085 0.642
7 S 0.546 0.435 0.292
8 S 0.864 0.015 0.199
9 S 0.954 0.708 0.565
10 S 0.111 0.642 0.085
11 S 0.389 0.915 0.358
12 S 0.364 0.199 0.015
13 Te 0.250 0.264 0.736
14 Te 0.750 0.736 0.264
15 Ga 0.749 0.602 0.788
16 Ga 0.249 0.788 0.602
17 Ga 0.251 0.398 0.212
18 Ga 0.751 0.212 0.398
19 Mg 0.750 0.099 0.901
20 Mg 0.250 0.901 0.099

Computed properties:
spin magnetization: 0.00 μB/cell
crystal system: monoclinic
raw formation energy: -5.53 eV per formula unit
theoretical density: 3.61 Mg/m³
VASP energy: -4.108 eV per atom